(1)
Entry from Alexandria: SrZnFe4 after structural relaxation (GGA-PBE).

The value obtained for the calculated volume is 380 Å³/cell. The value obtained for the energy of formation from the pure elements is 358 meV/atom. Its crystal system is cubic. The calculation puts the total magnetization at 1.628 μB per atom.

The space group is F-43m (No. 216) and the conventional cell measures 7.244, 7.244 and 7.244 Å, with angles of 90.00, 90.00 and 90.00 degrees. The distinct sites, in fractional coordinates, are Sr at (0.000, 0.000, 0.000), Zn at (0.250, 0.250, 0.750) and Fe at (0.124, 0.124, 0.376).

=====

(2)
Entry from Alexandria: SrZnFe after structural relaxation (GGA-PBE).

The value obtained for the calculated volume is 133 Å³/cell. The value obtained for the energy of formation from the pure elements is 321 meV/atom. Its crystal system is tetragonal. The calculation puts the total magnetization at 0.792 μB per atom.

The space group is I4mm (No. 107) and the conventional cell measures 3.474, 3.474 and 10.997 Å, with angles of 90.00, 90.00 and 90.00 degrees. The distinct sites, in fractional coordinates, are Sr at (0.000, 0.000, 0.000), Zn at (0.000, 0.000, 0.281) and Fe at (0.000, 0.000, 0.715).

=====

(3)
Entry from Alexandria: SrZnFe after structural relaxation (GGA-PBE).

The value obtained for the calculated volume is 72 Å³/cell. The value obtained for the energy of formation from the pure elements is 288 meV/atom. Its crystal system is hexagonal. The calculation puts the total magnetization at 0.688 μB per atom.

The space group is P-6m2 (No. 187) and the conventional cell measures 4.3242, 4.3242 and 4.4254 Å, with angles of 90.00, 90.00 and 120.00 degrees. The distinct sites, in fractional coordinates, are Sr at (0.0000, 0.0000, 0.0000), Zn at (0.3333, 0.6667, 0.5000) and Fe at (0.6667, 0.3333, 0.5000).

=====

(4)
Entry from Alexandria: SrZnFe2 after structural relaxation (GGA-PBE).

The value obtained for the calculated volume is 81 Å³/cell. The value obtained for the energy of formation from the pure elements is 470 meV/atom. Its crystal system is monoclinic. The calculation puts the total magnetization at 1.247 μB per atom.

The space group is P2/m (No. 10) and the conventional cell measures 3.124, 4.354 and 6.087 Å, with angles of 90.00, 100.39 and 90.00 degrees. The distinct sites, in fractional coordinates, are Sr at (0.000, 0.000, 0.000), Zn at (0.500, 0.000, 0.500) and Fe at (0.290, 0.500, 0.645).

=====

(5)
Entry from Alexandria: SrZnFe2 after structural relaxation (GGA-PBE).

The value obtained for the calculated volume is 301 Å³/cell. The value obtained for the energy of formation from the pure elements is 613 meV/atom. Its crystal system is cubic. The calculation puts the total magnetization at 1.339 μB per atom.

The space group is F-43m (No. 216) and the conventional cell measures 6.698, 6.698 and 6.698 Å, with angles of 90.00, 90.00 and 90.00 degrees. The distinct sites, in fractional coordinates, are Sr at (0.000, 0.000, 0.000), Zn at (0.250, 0.250, 0.250), Fe at (0.000, 0.000, 0.500) and Fe at (0.250, 0.250, 0.750).

=====

(6)
Entry from Alexandria: Sr2ZnFe after structural relaxation (GGA-PBE).

The value obtained for the calculated volume is 241 Å³/cell. The value obtained for the energy of formation from the pure elements is 198 meV/atom. Its crystal system is orthorhombic. The calculation puts the total magnetization at 0.482 μB per atom.

The space group is Amm2 (No. 38) and the conventional cell measures 4.418, 4.633 and 11.776 Å, with angles of 90.00, 90.00 and 90.00 degrees. The distinct sites, in fractional coordinates, are Sr at (0.000, 0.000, 0.000), Sr at (0.500, 0.000, 0.284), Zn at (0.000, 0.000, 0.694) and Fe at (0.500, 0.000, 0.596).

=====

(7)
Entry from Alexandria: SrZnFe2 after structural relaxation (GGA-PBE).

The value obtained for the calculated volume is 154 Å³/cell. The value obtained for the energy of formation from the pure elements is 519 meV/atom. Its crystal system is orthorhombic. The calculation puts the total magnetization at 1.243 μB per atom.

The space group is Imm2 (No. 44) and the conventional cell measures 3.103, 5.142 and 9.633 Å, with angles of 90.00, 90.00 and 90.00 degrees. The distinct sites, in fractional coordinates, are Sr at (0.000, 0.000, 0.000), Zn at (0.000, 0.500, 0.799), Fe at (0.000, 0.000, 0.522) and Fe at (0.000, 0.500, 0.204).

=====

(8)
Entry from Alexandria: SrZnFe2 after structural relaxation (GGA-PBE).

The value obtained for the calculated volume is 142 Å³/cell. The value obtained for the energy of formation from the pure elements is 780 meV/atom. Its crystal system is monoclinic. The calculation puts the total magnetization at 1.148 μB per atom.

The space group is C2/m (No. 12) and the conventional cell measures 5.755, 9.430 and 2.856 Å, with angles of 90.00, 113.71 and 90.00 degrees. The distinct sites, in fractional coordinates, are Sr at (0.000, 0.000, 0.000), Zn at (0.000, 0.500, 0.000) and Fe at (0.250, 0.250, 0.500).

=====

(9)
Entry from Alexandria: SrZnFe2 after structural relaxation (GGA-PBE).

The value obtained for the calculated volume is 146 Å³/cell. The value obtained for the energy of formation from the pure elements is 712 meV/atom. Its crystal system is tetragonal. The calculation puts the total magnetization at 1.171 μB per atom.

The space group is I4/mmm (No. 139) and the conventional cell measures 4.155, 4.155 and 8.478 Å, with angles of 90.00, 90.00 and 90.00 degrees. The distinct sites, in fractional coordinates, are Sr at (0.000, 0.000, 0.000), Zn at (0.000, 0.000, 0.500) and Fe at (0.000, 0.500, 0.250).

=====

(10)
Entry from Alexandria: Sr4ZnFe after structural relaxation (GGA-PBE).

The value obtained for the calculated volume is 1009 Å³/cell. The value obtained for the energy of formation from the pure elements is 961 meV/atom. Its crystal system is cubic. The calculation puts the total magnetization at 0.428 μB per atom.

The space group is F-43m (No. 216) and the conventional cell measures 10.028, 10.028 and 10.028 Å, with angles of 90.00, 90.00 and 90.00 degrees. The distinct sites, in fractional coordinates, are Sr at (0.124, 0.124, 0.376), Zn at (0.000, 0.000, 0.000) and Fe at (0.250, 0.250, 0.750).

=====

(11)
Entry from Alexandria: Sr2ZnFe after structural relaxation (GGA-PBE).

The value obtained for the calculated volume is 114 Å³/cell. The value obtained for the energy of formation from the pure elements is 281 meV/atom. Its crystal system is tetragonal. The calculation puts the total magnetization at 0.577 μB per atom.

The space group is P4mm (No. 99) and the conventional cell measures 3.588, 3.588 and 8.841 Å, with angles of 90.00, 90.00 and 90.00 degrees. The distinct sites, in fractional coordinates, are Sr at (0.000, 0.000, 0.000), Sr at (0.500, 0.500, 0.402), Zn at (0.000, 0.000, 0.656) and Fe at (0.500, 0.500, 0.747).

=====

(12)
Entry from Alexandria: Sr2ZnFe after structural relaxation (GGA-PBE).

The value obtained for the calculated volume is 240 Å³/cell. The value obtained for the energy of formation from the pure elements is 285 meV/atom. Its crystal system is orthorhombic. The calculation puts the total magnetization at 0.500 μB per atom.

The space group is Imm2 (No. 44) and the conventional cell measures 4.083, 4.923 and 11.921 Å, with angles of 90.00, 90.00 and 90.00 degrees. The distinct sites, in fractional coordinates, are Sr at (0.000, 0.000, 0.000), Sr at (0.000, 0.500, 0.228), Zn at (0.000, 0.000, 0.428) and Fe at (0.000, 0.500, 0.813).